1.
! CeLuMg2 | Alexandria via LeMat-Bulk | GGA-PBE | relaxed; values from VASP
&SYSTEM
  ibrav = 0, nat = 16, ntyp = 3
/
ATOMIC_SPECIES
Ce 140.12 Ce.upf
Lu 174.97 Lu.upf
Mg 24.30 Mg.upf
ATOMIC_POSITIONS angstrom
Ce 0.000 0.000 0.000
Ce 0.000 3.774 3.774
Ce 3.774 0.000 3.774
Ce 3.774 3.774 0.000
Lu 0.000 0.000 3.774
Lu 0.000 3.774 0.000
Lu 3.774 0.000 0.000
Lu 3.774 3.774 3.774
Mg 1.887 1.887 1.887
Mg 1.887 1.887 5.661
Mg 1.887 5.661 1.887
Mg 1.887 5.661 5.661
Mg 5.661 1.887 1.887
Mg 5.661 1.887 5.661
Mg 5.661 5.661 1.887
Mg 5.661 5.661 5.661
CELL_PARAMETERS angstrom
7.548 0.000 0.000
0.000 7.548 0.000
0.000 0.000 7.548
! SG: Fm-3m (225)
! E_form, eV/f.u.: 0.00
! Relative energy among the computed polymorphs, eV per atom: 0.000

=====

2.
! HfS6Cl2 | Alexandria via LeMat-Bulk | GGA-PBE | relaxed; values from VASP
&SYSTEM
  ibrav = 0, nat = 9, ntyp = 3
/
ATOMIC_SPECIES
Hf 178.49 Hf.upf
S 32.06 S.upf
Cl 35.45 Cl.upf
ATOMIC_POSITIONS angstrom
Hf 0.000 0.000 0.000
S 1.733 8.689 5.915
S 1.732 8.813 7.988
S 1.733 6.851 5.330
S 3.490 4.409 3.252
S 3.491 2.447 0.594
S 3.490 2.571 2.667
Cl 1.774 3.074 6.837
Cl 3.450 8.186 1.745
CELL_PARAMETERS angstrom
3.494 0.000 0.000
1.703 8.677 0.000
0.027 2.583 8.583
! SG: P-1 (2)
! Formation energy without anion corrections, eV/atom: -0.526

=====

3.
! Ca2RePt2 | Alexandria via LeMat-Bulk | GGA-PBE | relaxed; values from VASP
&SYSTEM
  ibrav = 0, nat = 10, ntyp = 3
/
ATOMIC_SPECIES
Ca 40.08 Ca.upf
Re 186.21 Re.upf
Pt 195.08 Pt.upf
ATOMIC_POSITIONS angstrom
Ca 1.118 2.981 0.000
Ca 2.981 7.080 0.000
Ca 5.216 1.118 0.000
Ca 7.080 5.216 0.000
Re 0.000 0.000 0.000
Re 4.099 4.099 0.000
Pt 1.369 5.468 1.446
Pt 2.730 1.369 1.446
Pt 5.468 6.828 1.446
Pt 6.828 2.730 1.446
CELL_PARAMETERS angstrom
8.197 0.000 0.000
0.000 8.197 0.000
0.000 0.000 2.892
! SG: P4/mbm (127)
! E_form, eV/f.u.: 1.32
! Relative energy among the computed polymorphs, eV per atom: 0.591

=====

4.
! Hg12Te3Br5 | Alexandria via LeMat-Bulk | GGA-PBE | relaxed; values from VASP
&SYSTEM
  ibrav = 0, nat = 80, ntyp = 3
/
ATOMIC_SPECIES
Hg 200.59 Hg.upf
Te 127.60 Te.upf
Br 79.90 Br.upf
ATOMIC_POSITIONS angstrom
Hg 8.596 -1.577 2.696
Hg 13.847 -1.793 2.912
Hg 2.696 -0.381 1.577
Hg 10.770 6.065 -4.870
Hg 11.672 0.381 1.577
Hg 10.770 -2.912 4.870
Hg 1.577 2.696 -0.381
Hg 11.889 4.107 -1.793
Hg 6.065 4.870 -1.793
Hg 7.400 2.696 0.381
Hg -0.381 1.577 2.696
Hg 4.870 -1.793 6.065
Hg 8.596 7.400 -2.696
Hg 4.870 1.793 2.912
Hg 7.400 -2.696 8.596
Hg 6.065 -4.870 10.770
Hg 2.912 4.870 1.793
Hg 10.554 6.281 0.381
Hg 2.696 8.596 -1.577
Hg 10.770 2.912 4.107
Hg 1.793 2.912 4.870
Hg 2.696 0.381 7.400
Hg 4.870 10.770 -2.912
Hg 8.596 1.577 6.281
Hg 0.381 7.400 2.696
Hg 4.107 -1.793 11.889
Hg 6.281 8.596 1.577
Hg 7.184 6.065 4.107
Hg -1.793 6.065 4.870
Hg 6.281 0.381 10.554
Hg -1.577 2.696 8.596
Hg 6.065 4.107 7.184
Hg 2.912 13.847 -1.793
Hg 1.577 11.672 0.381
Hg 4.107 7.184 6.065
Hg 0.381 1.577 11.672
Hg 4.107 10.770 2.912
Hg 9.358 7.400 6.281
Hg 1.577 6.281 8.596
Hg 2.912 4.107 10.770
Hg -2.912 4.870 10.770
Hg 7.400 6.281 9.358
Hg -1.793 11.889 4.107
Hg -2.696 8.596 7.400
Hg -1.793 2.912 13.847
Hg 6.281 9.358 7.400
Hg -4.870 10.770 6.065
Hg 0.381 10.554 6.281
Te 4.488 2.244 0.000
Te 8.977 4.488 -2.244
Te 2.244 0.000 4.488
Te 11.221 0.000 4.488
Te 0.000 4.488 2.244
Te 4.488 -2.244 8.977
Te 4.488 11.221 0.000
Te 8.977 4.488 6.733
Te -2.244 8.977 4.488
Te 6.733 8.977 4.488
Te 0.000 4.488 11.221
Te 4.488 6.733 8.977
Br 0.000 0.000 0.000
Br 4.488 4.488 -4.488
Br 4.488 -4.488 4.488
Br 8.977 0.000 0.000
Br 13.465 2.244 0.000
Br 8.977 -4.488 6.733
Br 6.733 8.977 -4.488
Br 6.733 0.000 4.488
Br 4.488 6.733 0.000
Br 8.977 4.488 2.244
Br -4.488 4.488 4.488
Br 0.000 8.977 0.000
Br 0.000 0.000 8.977
Br 4.488 4.488 4.488
Br 0.000 4.488 6.733
Br 4.488 2.244 8.977
Br 2.244 8.977 4.488
Br 2.244 0.000 13.465
Br 0.000 13.465 2.244
Br -4.488 6.733 8.977
CELL_PARAMETERS angstrom
-8.977 8.977 8.977
8.977 -8.977 8.977
8.977 8.977 -8.977
! SG: Ia-3d (230)
! Formation energy without anion corrections, eV/atom: -0.044

=====

5.
! Th6Os2N | Alexandria via LeMat-Bulk | GGA-PBE | relaxed; values from VASP
&SYSTEM
  ibrav = 0, nat = 18, ntyp = 3
/
ATOMIC_SPECIES
Th 232.04 Th.upf
Os 190.23 Os.upf
N 14.01 N.upf
ATOMIC_POSITIONS angstrom
Th -0.820 0.294 2.429
Th -3.807 3.303 7.413
Th 1.067 4.886 0.663
Th -1.921 5.907 5.648
Th 2.128 1.265 0.598
Th -0.860 2.333 5.582
Th 1.411 4.862 4.387
Th -1.577 5.930 9.371
Th 2.472 1.288 4.321
Th -0.515 2.309 9.306
Th 4.359 3.892 2.556
Th 1.371 6.900 7.540
Os -2.420 0.860 7.656
Os 0.568 2.737 2.671
Os -0.017 4.458 7.298
Os 2.971 6.335 2.313
N 0.000 0.000 0.000
N -2.988 3.597 4.984
CELL_PARAMETERS angstrom
6.527 0.000 0.000
0.000 7.195 0.000
-5.976 0.000 9.969
! SG: P2_1/c (14)
! Formation energy without anion corrections, eV/atom: -0.523

=====

6.
! Ce2Pu3Ir4 | Alexandria via LeMat-Bulk | GGA-PBE | relaxed; values from VASP
&SYSTEM
  ibrav = 0, nat = 18, ntyp = 3
/
ATOMIC_SPECIES
Ce 140.12 Ce.upf
Pu 244.00 Pu.upf
Ir 192.22 Ir.upf
ATOMIC_POSITIONS angstrom
Ce 3.041 6.585 7.207
Ce 3.041 1.685 3.207
Ce 3.041 -1.685 4.791
Ce 3.041 -6.585 0.792
Pu 0.000 0.000 3.999
Pu 1.521 3.608 5.999
Pu 1.521 -3.608 2.000
Pu 3.041 0.000 0.000
Pu 4.562 3.608 5.999
Pu 4.562 -3.608 2.000
Ir 3.041 5.497 4.472
Ir 1.521 0.836 5.999
Ir 1.521 -0.836 2.000
Ir 3.041 2.773 0.472
Ir 3.041 -2.773 7.526
Ir 4.562 0.836 5.999
Ir 4.562 -0.836 2.000
Ir 3.041 -5.497 3.527
CELL_PARAMETERS angstrom
3.041 -8.270 0.000
3.041 8.270 0.000
0.000 0.000 7.999
! SG: Cmce (64)
! E_form, eV/f.u.: -4.30

=====

Table of total magnetization (Bohr magnetons per cell), in record order: 3.1; 0.0; 0.0; 0.0; 0.0; 33.7
Table of D(E_F) (states/eV/cell), in record order: 25.9; 2.4; 5.7; 26.7; 18.3; 44.8